(1)
VASP calculation (GGA-PBEsol) on SiF4 after structural relaxation.

Lattice parameters (Å, degrees): 4.6602 4.6602 4.6602 109.47 109.47 109.47
Closest atoms and distances in Å follow each position.
Fractional coordinates of all 5 atoms:
Si (0.0000, 0.0000, 0.0000)  4 F 1.58
F (0.3383, 0.0000, 0.0000)  1 Si 1.58
F (0.0000, 0.3383, 0.0000)  1 Si 1.58
F (0.6617, 0.6617, 0.6617)  1 Si 1.58
F (0.0000, 0.0000, 0.3383)  1 Si 1.58

Values from the calculation:
VASP energy (eV per atom): -5.829
Symmetry: I-43m (217)
ΔE_f (raw) (meV per atom): -3138

(2)
VASP calculation (GGA-PBEsol) on Si3SnF after structural relaxation.

Lattice parameters (Å, degrees): 5.1401 5.1401 5.1401 90.00 90.00 90.00
Closest atoms and distances in Å follow each position.
Fractional coordinates of all 5 atoms:
Si (0.0000, 0.5000, 0.0000)  2 Sn 2.57
Si (0.0000, 0.0000, 0.5000)  2 Sn 2.57
Si (0.5000, 0.0000, 0.0000)  2 Sn 2.57
Sn (0.0000, 0.0000, 0.0000)  6 Si 2.57
F (0.5000, 0.5000, 0.5000)  12 Si 3.63

Values from the calculation:
VASP energy (eV per atom): -3.546
Symmetry: Pm-3m (221)
ΔE_f (raw) (meV per atom): 1139

(3)
VASP calculation (GGA-PBEsol) on Si2SnF after structural relaxation.

Lattice parameters (Å, degrees): 3.5143 3.5143 11.4088 98.86 98.86 90.00
Closest atoms and distances in Å follow each position.
Fractional coordinates of all 8 atoms:
Si (0.3707, 0.8750, 0.2500)  4 Si 2.46-2.51
Si (0.8793, 0.3750, 0.2500)  4 Si 2.46-2.51
Si (0.1250, 0.1207, 0.7500)  4 Si 2.46-2.51
Si (0.6250, 0.6293, 0.7500)  4 Si 2.46-2.51
Sn (0.2500, 0.7500, 0.5000)  4 F 2.48
Sn (0.0000, 0.0000, 0.0000)  4 F 2.48
F (0.7500, 0.2500, 0.5000)  4 Sn 2.48
F (0.5000, 0.5000, 0.0000)  4 Sn 2.48

Values from the calculation:
VASP energy (eV per atom): -4.830
Symmetry: I-42d (122)
ΔE_f (raw) (meV per atom): -410

(4)
VASP calculation (GGA-PBEsol) on SiSnF2 after structural relaxation.

Lattice parameters (Å, degrees): 2.9464 2.9464 8.7946 80.36 80.36 60.00
Closest atoms and distances in Å follow each position.
Fractional coordinates of all 4 atoms:
Si (0.0000, 0.0000, 0.0000)  2 F 1.69
Sn (0.5000, 0.5000, 0.5000)  6 Sn 2.95, 6 F 3.13
F (0.9348, 0.9348, 0.1957)  1 Si 1.69
F (0.0652, 0.0652, 0.8043)  1 Si 1.69

Values from the calculation:
VASP energy (eV per atom): -4.810
Symmetry: R-3m (166)
ΔE_f (raw) (meV per atom): -1345